Record 1
KPt2Rh after structural relaxation. Source: Alexandria, functional PBE-GGA.

Computed properties:
V: 18.54 A^3/atom
Energy: -4.75 eV per atom
Crystal system: orthorhombic
Magnetization: 1.55 Bohr magnetons per cell
Density of states at the Fermi level: 13.33 states/eV/cell
Energy relative to the elements: 1.5 eV per formula unit

a b c (Å): 2.749 5.095 10.591
angles (deg): 90.00 90.00 90.00
Space group Immm (No. 71)
Unique sites:
1 K 0.000 0.000 0.000 (multiplicity 2)
2 Pt 0.000 0.500 0.218 (multiplicity 4)
3 Rh 0.000 0.000 0.500 (multiplicity 2)

***

Record 2
KPtRh2 after structural relaxation. Source: Alexandria, functional PBE-GGA.

Computed properties:
V: 20.57 A^3/atom
Energy: -5.09 eV per atom
E above lowest polymorph: 86 meV per atom
Crystal system: monoclinic
Magnetization: 0.00 Bohr magnetons per cell
Density of states at the Fermi level: 11.76 states/eV/cell
Energy relative to the elements: 1.5 eV per formula unit

a b c (Å): 8.792 2.752 6.831
angles (deg): 90.00 95.34 90.00
Space group Cm (No. 8)
Unique sites:
1 K 0.000 0.000 0.000 (multiplicity 2)
2 Pt 0.238 0.000 0.673 (multiplicity 2)
3 Rh 0.000 0.500 0.486 (multiplicity 2)
4 Rh 0.264 0.500 0.345 (multiplicity 2)

***

Record 3
K2PtRh after structural relaxation. Source: Alexandria, functional PBE-GGA.

Computed properties:
V: 20.50 A^3/atom
Energy: -3.39 eV per atom
E above lowest polymorph: 315 meV per atom
Crystal system: trigonal
Magnetization: 0.61 Bohr magnetons per cell
Density of states at the Fermi level: 5.99 states/eV/cell
Energy relative to the elements: 2.0 eV per formula unit

a b c (Å): 2.9576 2.9576 32.4788
angles (deg): 90.00 90.00 120.00
Space group R-3m (No. 166, hexagonal axes)
Unique sites:
1 K 0.0000 0.0000 0.2493 (multiplicity 6)
2 Pt 0.0000 0.0000 0.0000 (multiplicity 3)
3 Rh 0.0000 0.0000 0.5000 (multiplicity 3)

***

Record 4
K2PtRh after structural relaxation. Source: Alexandria, functional PBE-GGA.

Computed properties:
V: 21.76 A^3/atom
Energy: -3.39 eV per atom
E above lowest polymorph: 320 meV per atom
Crystal system: orthorhombic
Magnetization: 1.26 Bohr magnetons per cell
Density of states at the Fermi level: 6.23 states/eV/cell
Energy relative to the elements: 2.0 eV per formula unit

a b c (Å): 5.899 10.363 2.847
angles (deg): 90.00 90.00 90.00
Space group Cmmm (No. 65)
Unique sites:
1 K 0.250 0.250 0.000 (multiplicity 4)
2 Pt 0.000 0.000 0.500 (multiplicity 2)
3 Rh 0.000 0.500 0.500 (multiplicity 2)

***

Record 5
KPt3Rh after structural relaxation. Source: Alexandria, functional PBE-GGA.

Computed properties:
V: 22.41 A^3/atom
Energy: -2.89 eV per atom
E above lowest polymorph: 1616 meV per atom
Crystal system: cubic
Magnetization: 1.70 Bohr magnetons per cell
Density of states at the Fermi level: 8.59 states/eV/cell
Energy relative to the elements: 12.1 eV per formula unit

a b c (Å): 4.821 4.821 4.821
angles (deg): 90.00 90.00 90.00
Space group Pm-3m (No. 221)
Unique sites:
1 K 0.000 0.000 0.000 (multiplicity 1)
2 Pt 0.000 0.000 0.500 (multiplicity 3)
3 Rh 0.500 0.500 0.500 (multiplicity 1)

***

Record 6
K2PtRh after structural relaxation. Source: Alexandria, functional PBE-GGA.

Computed properties:
V: 21.66 A^3/atom
Energy: -3.39 eV per atom
E above lowest polymorph: 323 meV per atom
Crystal system: orthorhombic
Magnetization: 0.53 Bohr magnetons per cell
Density of states at the Fermi level: 10.63 states/eV/cell
Energy relative to the elements: 2.0 eV per formula unit

a b c (Å): 4.087 4.093 10.357
angles (deg): 90.00 90.00 90.00
Space group Immm (No. 71)
Unique sites:
1 K 0.000 0.000 0.249 (multiplicity 4)
2 Pt 0.000 0.500 0.000 (multiplicity 2)
3 Rh 0.000 0.500 0.500 (multiplicity 2)

***

Record 7
KPtRh2 after structural relaxation. Source: Alexandria, functional PBE-GGA.

Computed properties:
V: 17.65 A^3/atom
Energy: -4.67 eV per atom
E above lowest polymorph: 505 meV per atom
Crystal system: cubic
Magnetization: 10.16 Bohr magnetons per cell
Density of states at the Fermi level: 18.14 states/eV/cell
Energy relative to the elements: 3.2 eV per formula unit

a b c (Å): 6.561 6.561 6.561
angles (deg): 90.00 90.00 90.00
Space group Fm-3m (No. 225)
Unique sites:
1 K 0.000 0.000 0.000 (multiplicity 4)
2 Pt 0.000 0.000 0.500 (multiplicity 4)
3 Rh 0.250 0.250 0.250 (multiplicity 8)

***

Record 8
KPtRh2 after structural relaxation. Source: Alexandria, functional PBE-GGA.

Computed properties:
V: 17.39 A^3/atom
Energy: -4.71 eV per atom
E above lowest polymorph: 467 meV per atom
Crystal system: tetragonal
Magnetization: 0.00 Bohr magnetons per cell
Density of states at the Fermi level: 6.18 states/eV/cell
Energy relative to the elements: 3.0 eV per formula unit

a b c (Å): 4.114 4.114 4.110
angles (deg): 90.00 90.00 90.00
Space group P4/mmm (No. 123)
Unique sites:
1 K 0.000 0.000 0.000 (multiplicity 1)
2 Pt 0.500 0.500 0.000 (multiplicity 1)
3 Rh 0.000 0.500 0.500 (multiplicity 2)